Record 1
Computed, not measured: NaLa3Te after structural relaxation at the PBE level of DFT.

Results
Space-group type: No. 221
Uncorrected formation energy, eV per atom: -0.18

a b c (Å): 6.091 6.091 6.091
angles (deg): 90.00 90.00 90.00
Element x y z (fractional)
La (0.000, 0.500, 0.000)
La (0.000, 0.000, 0.500)
La (0.500, 0.000, 0.000)
Na (0.500, 0.500, 0.500)
Te (0.000, 0.000, 0.000)

***

Record 2
Computed, not measured: La5ThPb4 after structural relaxation at the PBE level of DFT.

Results
Formation energy, eV per atom: -0.37
Space-group type: No. 12

a b c (Å): 5.724 7.292 11.527
angles (deg): 128.12 104.38 90.00
Element x y z (fractional)
La (0.166, 0.840, 0.332)
La (0.834, 0.160, 0.668)
La (0.167, 0.325, 0.334)
La (0.500, 0.500, 0.000)
La (0.833, 0.675, 0.666)
Pb (0.992, 0.738, 0.984)
Pb (0.008, 0.262, 0.016)
Pb (0.327, 0.902, 0.653)
Pb (0.673, 0.098, 0.347)
Th (0.500, 0.000, 0.000)

***

Record 3
Computed, not measured: NaAcGdPb after structural relaxation at the PBE level of DFT.

Results
Formation energy, eV per atom: -0.17
Space-group type: No. 216

a b c (Å): 5.711 5.711 5.711
angles (deg): 60.00 60.00 60.00
Element x y z (fractional)
Pb (0.500, 0.500, 0.500)
Gd (0.750, 0.750, 0.750)
Na (0.000, 0.000, 0.000)
Ac (0.250, 0.250, 0.250)

***

In the order shown, the computed total energy values come out to -0.148; -0.186; -0.220 hartree per atom.